Computed, not measured: a crystal of ZrCoCl relaxed with PBEsol at the meta-GGA SCAN level of DFT.

Summary:
The magnetization comes out at 0.93 μB/cell. For the density, the calculation gives 7.10 g cm⁻³. The energy relative to the elements, uncorrected comes out at -0.147 eV per atom. Its crystal system is hexagonal.

a = 3.021 Å, b = 4.072 Å, c = 4.072 Å
α = 120.00°, β = 90.00°, γ = 90.00°
Site moments in Bohr magnetons follow the coordinates.
Fractional positions:
Co (0.000, 0.667, 0.333)  1.12
Zr (0.500, 0.333, 0.667)  -0.12
Cl (0.000, 0.000, 0.000)  0.03